(1)
Here is an optimized crystal structure of CuAu2Cl2 from the Alexandria database. Energies are from PBE.

Lattice parameters (Å, degrees): 3.7105 3.7105 8.5216 77.43 77.43 90.00
Sites, in units of the cell vectors:
Cu  0.0000  0.0000  0.0000
Au  0.7500  0.2500  0.5000
Cl  0.4111  0.4111  0.1779
Cl  0.5889  0.5889  0.8221
Au  0.2500  0.7500  0.5000

Its total DFT energy (no corrections) is -2.53 eV per atom. The value obtained for the offset from the most stable computed form is 205 meV per atom. The uncorrected formation energy is 32.44 kJ per mole of atoms. As for the space-group type: I4/mmm, No. 139.



(2)
Here is an optimized crystal structure of Pr4CdFe from the Alexandria database. Energies are from PBE.

Lattice parameters (Å, degrees): 6.0299 7.3708 9.2298 113.53 109.15 90.00
Each line ends with the local moment (μB).
Sites, in units of the cell vectors:
Fe  0.3127  0.4997  0.9993  1.25
Pr  0.3772  0.6339  0.7551  -0.09
Cd  0.1940  0.1939  0.3879  0.00
Pr  0.0000  0.2249  0.0000  -0.10
Cd  0.8060  0.8061  0.6121  0.00
Pr  0.6228  0.8788  0.2449  -0.09
Pr  0.0000  0.7751  0.0000  -0.10
Fe  0.6873  0.5003  0.0007  1.25
Pr  0.6228  0.3661  0.2449  -0.09
Pr  0.1836  0.6831  0.3663  -0.10
Pr  0.3772  0.1212  0.7551  -0.09
Pr  0.8164  0.3169  0.6337  -0.10

Its total DFT energy (no corrections) is -4.77 eV per atom. The formation energy from the elements is -0.11 eV/f.u. As for the space-group type: C2/m, No. 12.



(3)
Here is an optimized crystal structure of SrLiEuBi from the Alexandria database. Energies are from PBE.

Lattice parameters (Å, degrees): 5.7222 5.7222 5.7222 60.00 60.00 60.00
Each line ends with the local moment (μB).
Sites, in units of the cell vectors:
Sr  0.7500  0.7500  0.7500  -0.01
Bi  0.5000  0.5000  0.5000  0.05
Eu  0.2500  0.2500  0.2500  -6.89
Li  0.0000  0.0000  0.0000  -0.01

Its total DFT energy (no corrections) is -4.91 eV per atom. The formation energy from the elements is -1.88 eV/f.u. As for the space-group type: F-43m, No. 216.



(4)
Here is an optimized crystal structure of Tb2Dy3YAs6 from the Alexandria database. Energies are from PBE.

Lattice parameters (Å, degrees): 4.1269 8.2500 9.2249 102.90 102.93 90.00
Sites, in units of the cell vectors:
Dy  0.1667  0.8332  0.3334
As  0.3332  0.9176  0.6665
Tb  0.1665  0.3330  0.3331
As  0.0004  0.7497  0.0007
Y  0.5000  0.0000  0.0000
Dy  0.8333  0.1668  0.6666
As  0.3336  0.4161  0.6672
Tb  0.8335  0.6670  0.6669
Dy  0.5000  0.5000  0.0000
As  0.9996  0.2503  0.9993
As  0.6664  0.5839  0.3328
As  0.6668  0.0824  0.3335

Its total DFT energy (no corrections) is -6.33 eV per atom. The formation energy from the elements is -18.50 eV/f.u. As for the space-group type: C2/m, No. 12.